The following is a PBE calculation of crystalline Sm2Y4H at its relaxed geometry, from Alexandria via LeMat-Bulk.

Cell lengths 4.867, 4.867, 9.339 Å; angles 74.90, 74.90, 90.00 degrees
Positions (direct):
Y  0.151  0.151  0.698
Sm  0.353  0.353  0.295
H  0.000  0.000  0.000
Sm  0.647  0.647  0.705
Y  0.000  0.500  0.000
Y  0.500  0.000  0.000
Y  0.849  0.849  0.302

## Properties
The calculation puts the calculated volume at 29.4 Å³ per atom. For the raw total energy, the calculation gives -5.46 eV per atom.